Record 1
Material: BaSrGeAs2
Method: DFT, PBE
State: optimized geometry

The structure belongs to space group P2/c (No. 13); the cell edges are 7.546, 5.403 and 8.402 Å and the angles 90.00°, 106.04° and 90.00°. The distinct sites, in fractional coordinates, are Ba at (0.000, 0.211, 0.250), Sr at (0.500, 0.467, 0.750), Ge at (0.500, 0.000, 0.000) and As at (0.225, 0.267, 0.947).

For the total moment, the calculation gives 0.0000 μB per atom. The calculated formation energy comes out at -0.5840 eV per atom. As for the raw total energy: -4.088 eV/atom.

***

Record 2
Material: ReSe2Br
Method: DFT, PBE
State: optimized geometry

The structure belongs to space group Cm (No. 8); the cell edges are 12.937, 3.141 and 6.517 Å and the angles 90.00°, 120.06° and 90.00°. The distinct sites, in fractional coordinates, are Re at (0.000, 0.000, 0.000), Se at (0.352, 0.000, 0.988), Se at (0.495, 0.000, 0.706) and Br at (0.164, 0.500, 0.327).

As for the formation energy from raw total energies: 0.01 eV per atom. For the total moment, the calculation gives 0.0000 μB per atom. As for the raw total energy: -5.265 eV/atom.

***

Record 3
Material: Y2TiTlN
Method: DFT, PBE
State: optimized geometry

The structure belongs to space group P4/mmm (No. 123); the cell edges are 4.917, 4.917 and 4.185 Å and the angles 90.00°, 90.00° and 90.00°. The distinct sites, in fractional coordinates, are Y at (0.000, 0.500, 0.000), Ti at (0.000, 0.000, 0.500), Tl at (0.500, 0.500, 0.500) and N at (0.000, 0.000, 0.000).

As for the formation energy from raw total energies: -0.85 eV per atom. For the total moment, the calculation gives 0.2814 μB per atom. As for the raw total energy: -7.155 eV/atom.

***

Record 4
Material: PmTmSc
Method: DFT, PBE
State: optimized geometry

The structure belongs to space group I4mm (No. 107); the cell edges are 3.486, 3.486 and 14.582 Å and the angles 90.00°, 90.00° and 90.00°. The distinct sites, in fractional coordinates, are Pm at (0.000, 0.000, 0.000), Tm at (0.000, 0.000, 0.677) and Sc at (0.000, 0.000, 0.336).

For the total moment, the calculation gives 0.0000 μB per atom. The calculated formation energy comes out at 0.0503 eV per atom. As for the raw total energy: -5.134 eV/atom.